Entry 1:
Material: AcDyAl
Method: DFT, PBE-GGA
State: optimized geometry

Cell and atoms, written as CIF:
```
data_AcDyAl
_chemical_formula_sum 'Ac4 Dy4 Al4'
_symmetry_space_group_name_H-M 'F -4 3 m'
_symmetry_Int_Tables_number 216
_symmetry_space_group_name_Hall 'F -4 2 3'
_cell_length_a 7.474
_cell_length_b 7.474
_cell_length_c 7.474
_cell_angle_alpha 90.00
_cell_angle_beta 90.00
_cell_angle_gamma 90.00
loop_
_atom_site_label
_atom_site_type_symbol
_atom_site_fract_x
_atom_site_fract_y
_atom_site_fract_z
_atom_site_occupancy
Ac1 Ac 0.000 0.000 0.000 1
Dy1 Dy 0.000 0.000 0.500 1
Al1 Al 0.250 0.250 0.250 1
```

Summary:
- magnetic moment (μB/atom) = 0.226
- V (Å³ per atom) = 34.79


Entry 2:
Material: AcGdAl
Method: DFT, PBE-GGA
State: optimized geometry

Cell and atoms, written as CIF:
```
data_AcGdAl
_chemical_formula_sum 'Ac4 Gd4 Al4'
_symmetry_space_group_name_H-M 'F -4 3 m'
_symmetry_Int_Tables_number 216
_symmetry_space_group_name_Hall 'F -4 2 3'
_cell_length_a 7.498
_cell_length_b 7.498
_cell_length_c 7.498
_cell_angle_alpha 90.00
_cell_angle_beta 90.00
_cell_angle_gamma 90.00
loop_
_atom_site_label
_atom_site_type_symbol
_atom_site_fract_x
_atom_site_fract_y
_atom_site_fract_z
_atom_site_occupancy
Ac1 Ac 0.000 0.000 0.000 1
Gd1 Gd 0.000 0.000 0.500 1
Al1 Al 0.250 0.250 0.250 1
```

Summary:
- magnetic moment (μB/atom) = 0.218
- V (Å³ per atom) = 35.13


Entry 3:
Material: AcAlHg
Method: DFT, PBE-GGA
State: optimized geometry

Cell and atoms, written as CIF:
```
data_AcAlHg
_chemical_formula_sum 'Ac4 Al4 Hg4'
_symmetry_space_group_name_H-M 'F -4 3 m'
_symmetry_Int_Tables_number 216
_symmetry_space_group_name_Hall 'F -4 2 3'
_cell_length_a 7.505
_cell_length_b 7.505
_cell_length_c 7.505
_cell_angle_alpha 90.00
_cell_angle_beta 90.00
_cell_angle_gamma 90.00
loop_
_atom_site_label
_atom_site_type_symbol
_atom_site_fract_x
_atom_site_fract_y
_atom_site_fract_z
_atom_site_occupancy
Ac1 Ac 0.000 0.000 0.000 1
Al1 Al 0.250 0.250 0.750 1
Hg1 Hg 0.250 0.250 0.250 1
```

Summary:
- magnetic moment (μB/atom) = 0.002
- V (Å³ per atom) = 35.22


Entry 4:
Material: AcAlHg
Method: DFT, PBE-GGA
State: optimized geometry

Cell and atoms, written as CIF:
```
data_AcAlHg
_chemical_formula_sum 'Ac4 Al4 Hg4'
_symmetry_space_group_name_H-M 'F -4 3 m'
_symmetry_Int_Tables_number 216
_symmetry_space_group_name_Hall 'F -4 2 3'
_cell_length_a 7.215
_cell_length_b 7.215
_cell_length_c 7.215
_cell_angle_alpha 90.00
_cell_angle_beta 90.00
_cell_angle_gamma 90.00
loop_
_atom_site_label
_atom_site_type_symbol
_atom_site_fract_x
_atom_site_fract_y
_atom_site_fract_z
_atom_site_occupancy
Ac1 Ac 0.000 0.000 0.000 1
Al1 Al 0.000 0.000 0.500 1
Hg1 Hg 0.250 0.250 0.250 1
```

Summary:
- magnetic moment (μB/atom) = 0.000
- V (Å³ per atom) = 31.30


Entry 5:
Material: AcAlHg
Method: DFT, PBE-GGA
State: optimized geometry

Cell and atoms, written as CIF:
```
data_AcAlHg
_chemical_formula_sum 'Ac4 Al4 Hg4'
_symmetry_space_group_name_H-M 'F -4 3 m'
_symmetry_Int_Tables_number 216
_symmetry_space_group_name_Hall 'F -4 2 3'
_cell_length_a 7.171
_cell_length_b 7.171
_cell_length_c 7.171
_cell_angle_alpha 90.00
_cell_angle_beta 90.00
_cell_angle_gamma 90.00
loop_
_atom_site_label
_atom_site_type_symbol
_atom_site_fract_x
_atom_site_fract_y
_atom_site_fract_z
_atom_site_occupancy
Ac1 Ac 0.000 0.000 0.000 1
Al1 Al 0.250 0.250 0.250 1
Hg1 Hg 0.000 0.000 0.500 1
```

Summary:
- magnetic moment (μB/atom) = 0.001
- V (Å³ per atom) = 30.73


Entry 6:
Material: AcHoAl
Method: DFT, PBE-GGA
State: optimized geometry

Cell and atoms, written as CIF:
```
data_AcHoAl
_chemical_formula_sum 'Ac4 Ho4 Al4'
_symmetry_space_group_name_H-M 'F -4 3 m'
_symmetry_Int_Tables_number 216
_symmetry_space_group_name_Hall 'F -4 2 3'
_cell_length_a 7.584
_cell_length_b 7.584
_cell_length_c 7.584
_cell_angle_alpha 90.00
_cell_angle_beta 90.00
_cell_angle_gamma 90.00
loop_
_atom_site_label
_atom_site_type_symbol
_atom_site_fract_x
_atom_site_fract_y
_atom_site_fract_z
_atom_site_occupancy
Ac1 Ac 0.000 0.000 0.000 1
Ho1 Ho 0.250 0.250 0.250 1
Al1 Al 0.250 0.250 0.750 1
```

Summary:
- magnetic moment (μB/atom) = 0.004
- V (Å³ per atom) = 36.35


Entry 7:
Material: AcHoAl
Method: DFT, PBE-GGA
State: optimized geometry

Cell and atoms, written as CIF:
```
data_AcHoAl
_chemical_formula_sum 'Ac4 Ho4 Al4'
_symmetry_space_group_name_H-M 'F -4 3 m'
_symmetry_Int_Tables_number 216
_symmetry_space_group_name_Hall 'F -4 2 3'
_cell_length_a 7.459
_cell_length_b 7.459
_cell_length_c 7.459
_cell_angle_alpha 90.00
_cell_angle_beta 90.00
_cell_angle_gamma 90.00
loop_
_atom_site_label
_atom_site_type_symbol
_atom_site_fract_x
_atom_site_fract_y
_atom_site_fract_z
_atom_site_occupancy
Ac1 Ac 0.000 0.000 0.000 1
Ho1 Ho 0.000 0.000 0.500 1
Al1 Al 0.250 0.250 0.250 1
```

Summary:
- magnetic moment (μB/atom) = 0.223
- V (Å³ per atom) = 34.58


Entry 8:
Material: AcAlNi
Method: DFT, PBE-GGA
State: optimized geometry

Cell and atoms, written as CIF:
```
data_AcAlNi
_chemical_formula_sum 'Ac4 Al4 Ni4'
_symmetry_space_group_name_H-M 'F -4 3 m'
_symmetry_Int_Tables_number 216
_symmetry_space_group_name_Hall 'F -4 2 3'
_cell_length_a 6.777
_cell_length_b 6.777
_cell_length_c 6.777
_cell_angle_alpha 90.00
_cell_angle_beta 90.00
_cell_angle_gamma 90.00
loop_
_atom_site_label
_atom_site_type_symbol
_atom_site_fract_x
_atom_site_fract_y
_atom_site_fract_z
_atom_site_occupancy
Ac1 Ac 0.000 0.000 0.000 1
Al1 Al 0.250 0.250 0.250 1
Ni1 Ni 0.000 0.000 0.500 1
```

Summary:
- magnetic moment (μB/atom) = 0.002
- V (Å³ per atom) = 25.94


Entry 9:
Material: AcAlNi
Method: DFT, PBE-GGA
State: optimized geometry

Cell and atoms, written as CIF:
```
data_AcAlNi
_chemical_formula_sum 'Ac4 Al4 Ni4'
_symmetry_space_group_name_H-M 'F -4 3 m'
_symmetry_Int_Tables_number 216
_symmetry_space_group_name_Hall 'F -4 2 3'
_cell_length_a 6.673
_cell_length_b 6.673
_cell_length_c 6.673
_cell_angle_alpha 90.00
_cell_angle_beta 90.00
_cell_angle_gamma 90.00
loop_
_atom_site_label
_atom_site_type_symbol
_atom_site_fract_x
_atom_site_fract_y
_atom_site_fract_z
_atom_site_occupancy
Ac1 Ac 0.000 0.000 0.000 1
Al1 Al 0.000 0.000 0.500 1
Ni1 Ni 0.250 0.250 0.250 1
```

Summary:
- magnetic moment (μB/atom) = 0.005
- V (Å³ per atom) = 24.76


Entry 10:
Material: AcAlNi
Method: DFT, PBE-GGA
State: optimized geometry

Cell and atoms, written as CIF:
```
data_AcAlNi
_chemical_formula_sum 'Ac4 Al4 Ni4'
_symmetry_space_group_name_H-M 'F -4 3 m'
_symmetry_Int_Tables_number 216
_symmetry_space_group_name_Hall 'F -4 2 3'
_cell_length_a 7.050
_cell_length_b 7.050
_cell_length_c 7.050
_cell_angle_alpha 90.00
_cell_angle_beta 90.00
_cell_angle_gamma 90.00
loop_
_atom_site_label
_atom_site_type_symbol
_atom_site_fract_x
_atom_site_fract_y
_atom_site_fract_z
_atom_site_occupancy
Ac1 Ac 0.000 0.000 0.000 1
Al1 Al 0.250 0.250 0.750 1
Ni1 Ni 0.250 0.250 0.250 1
```

Summary:
- magnetic moment (μB/atom) = 0.000
- V (Å³ per atom) = 29.20


| no. | total DFT energy (no corrections) (eV/atom) | energy above the lowest structure with this stoichiometry (meV per atom) |
| --- | --- | --- |
| 1 | -4.129 | 0.0 |
| 2 | -4.157 | 0.0 |
| 3 | -2.558 | 419.0 |
| 4 | -2.977 | 0.0 |
| 5 | -2.904 | 72.8 |
| 6 | -3.497 | 619.1 |
| 7 | -4.117 | 0.0 |
| 8 | -4.169 | 464.2 |
| 9 | -4.633 | 0.0 |
| 10 | -3.845 | 788.2 |